Entry 1:
First-principles (PBE) data for a geometry-optimized HfBeSiNi structure, as listed in the Open Quantum Materials Database.

a = 4.2009 Å, b = 4.2009 Å, c = 4.2009 Å
α = 60.00°, β = 60.00°, γ = 60.00°
Atoms (fractional coordinates):
Hf 0.0000 0.0000 0.0000
Be 0.2500 0.2500 0.2500
Si 0.5000 0.5000 0.5000
Ni 0.7500 0.7500 0.7500

Calculated values
* space-group type: F-43m (216)
* theoretical density: 8.69 g cm⁻³
* calculated volume: 13.11 Å³ per atom
* crystal system: cubic
* relative energy among the computed polymorphs: 0.0000 eV per atom
* energy: -6.40 eV per atom


Entry 2:
First-principles (PBE) data for a geometry-optimized HfBeSiNi structure, as listed in the Open Quantum Materials Database.

a = 4.2298 Å, b = 4.2298 Å, c = 4.2298 Å
α = 60.00°, β = 60.00°, γ = 60.00°
Atoms (fractional coordinates):
Hf 0.0000 0.0000 0.0000
Be 0.7500 0.7500 0.7500
Si 0.2500 0.2500 0.2500
Ni 0.5000 0.5000 0.5000

Calculated values
* space-group type: F-43m (216)
* theoretical density: 8.51 g cm⁻³
* calculated volume: 13.38 Å³ per atom
* crystal system: cubic
* relative energy among the computed polymorphs: 0.0697 eV per atom
* energy: -6.33 eV per atom


Entry 3:
First-principles (PBE) data for a geometry-optimized HfBeNiSn structure, as listed in the Open Quantum Materials Database.

a = 4.4965 Å, b = 4.4965 Å, c = 4.4965 Å
α = 60.00°, β = 60.00°, γ = 60.00°
Atoms (fractional coordinates):
Hf 0.0000 0.0000 0.0000
Be 0.7500 0.7500 0.7500
Ni 0.5000 0.5000 0.5000
Sn 0.2500 0.2500 0.2500

Calculated values
* space-group type: F-43m (216)
* theoretical density: 9.43 g cm⁻³
* calculated volume: 16.07 Å³ per atom
* crystal system: cubic
* relative energy among the computed polymorphs: 0.2572 eV per atom
* energy: -5.67 eV per atom


Entry 4:
First-principles (PBE) data for a geometry-optimized HfBeNiSn structure, as listed in the Open Quantum Materials Database.

a = 4.4217 Å, b = 4.4217 Å, c = 4.4217 Å
α = 60.00°, β = 60.00°, γ = 60.00°
Atoms (fractional coordinates):
Hf 0.0000 0.0000 0.0000
Be 0.2500 0.2500 0.2500
Ni 0.7500 0.7500 0.7500
Sn 0.5000 0.5000 0.5000

Calculated values
* space-group type: F-43m (216)
* theoretical density: 9.91 g cm⁻³
* calculated volume: 15.28 Å³ per atom
* crystal system: cubic
* relative energy among the computed polymorphs: 0.0000 eV per atom
* energy: -5.93 eV per atom